This record from the Alexandria database describes CdCo3Ir after structural relaxation. The functional is GGA-PBE.

Summary:
Total energy: -25.270 eV for the cell shown
Offset from the most stable computed form: 0 meV per atom
ρ: 8.34 g cm⁻³
Space group: Pm-3m (221)
N(E_F): 5.52 states/eV per cell

abc: 4.5762 4.5762 4.5762
angles: 90.00 90.00 90.00
Fractional coordinates of all 5 atoms:
Cd  0.0000  0.0000  0.0000
Co  0.0000  0.5000  0.5000
Co  0.5000  0.0000  0.5000
Co  0.5000  0.5000  0.0000
Ir  0.5000  0.5000  0.5000